# 1
# AlSb2Rh | Alexandria via LeMat-Bulk | GGA-PBEsol | relaxed
data_AlSb2Rh
_chemical_formula_sum 'Al1 Sb2 Rh1'
_cell_length_a 3.291
_cell_length_b 4.889
_cell_length_c 4.889
_cell_angle_alpha 102.25
_cell_angle_beta 90.00
_cell_angle_gamma 90.00
_space_group_name_H-M_alt 'P 1'
_space_group_IT_number 1
loop_
_space_group_symop_operation_xyz
'x,y,z'
loop_
_atom_site_label
_atom_site_type_symbol
_atom_site_fract_x
_atom_site_fract_y
_atom_site_fract_z
Sb1 Sb 0.000 0.500 0.000
Sb2 Sb 0.000 0.000 0.500
Rh1 Rh 0.500 0.500 0.500
Al1 Al 0.500 0.000 0.000
# Energy relative to the elements, uncorrected ... 0.074 eV per atom
# Volume ... 76.9 Å³/cell
# Total DFT energy (no corrections) ... -5.262 eV/atom

# 2
# LaRe2PbC | Alexandria via LeMat-Bulk | GGA-PBEsol | relaxed
data_LaRe2PbC
_chemical_formula_sum 'La1 Re2 Pb1 C1'
_cell_length_a 4.901
_cell_length_b 4.901
_cell_length_c 5.872
_cell_angle_alpha 90.00
_cell_angle_beta 90.00
_cell_angle_gamma 90.00
_space_group_name_H-M_alt 'P 1'
_space_group_IT_number 1
loop_
_space_group_symop_operation_xyz
'x,y,z'
loop_
_atom_site_label
_atom_site_type_symbol
_atom_site_fract_x
_atom_site_fract_y
_atom_site_fract_z
Pb1 Pb 0.000 0.000 0.000
Re1 Re 0.000 0.500 0.000
Re2 Re 0.500 0.000 0.000
C1 C 0.500 0.500 0.500
La1 La 0.000 0.000 0.500
# Volume ... 141.0 Å³/cell
# Total DFT energy (no corrections) ... -5.657 eV/atom

# 3
# SrMo3H | Alexandria via LeMat-Bulk | GGA-PBEsol | relaxed
data_SrMo3H
_chemical_formula_sum 'Sr1 Mo3 H1'
_cell_length_a 4.242
_cell_length_b 4.242
_cell_length_c 4.242
_cell_angle_alpha 90.00
_cell_angle_beta 90.00
_cell_angle_gamma 90.00
_space_group_name_H-M_alt 'P 1'
_space_group_IT_number 1
loop_
_space_group_symop_operation_xyz
'x,y,z'
loop_
_atom_site_label
_atom_site_type_symbol
_atom_site_fract_x
_atom_site_fract_y
_atom_site_fract_z
Sr1 Sr 0.500 0.500 0.500
Mo1 Mo 0.000 0.500 0.000
Mo2 Mo 0.000 0.000 0.500
Mo3 Mo 0.500 0.000 0.000
H1 H 0.000 0.000 0.000
# Volume ... 76.3 Å³/cell
# Total DFT energy (no corrections) ... -6.971 eV/atom

# 4
# ScBe4Os | Alexandria via LeMat-Bulk | GGA-PBEsol | relaxed
data_ScBe4Os
_chemical_formula_sum 'Sc1 Be4 Os1'
_cell_length_a 4.481
_cell_length_b 4.481
_cell_length_c 4.481
_cell_angle_alpha 60.00
_cell_angle_beta 60.00
_cell_angle_gamma 60.00
_space_group_name_H-M_alt 'P 1'
_space_group_IT_number 1
loop_
_space_group_symop_operation_xyz
'x,y,z'
loop_
_atom_site_label
_atom_site_type_symbol
_atom_site_fract_x
_atom_site_fract_y
_atom_site_fract_z
Sc1 Sc 0.000 0.000 0.000
Be1 Be 0.377 0.377 0.377
Be2 Be 0.377 0.377 0.869
Be3 Be 0.869 0.377 0.377
Be4 Be 0.377 0.869 0.377
Os1 Os 0.750 0.750 0.750
# Volume ... 63.6 Å³/cell
# Total DFT energy (no corrections) ... -6.152 eV/atom

# 5
# SrInPt | Alexandria via LeMat-Bulk | GGA-PBEsol | relaxed
data_SrInPt
_chemical_formula_sum 'Sr4 In4 Pt4'
_cell_length_a 4.498
_cell_length_b 7.510
_cell_length_c 8.428
_cell_angle_alpha 90.00
_cell_angle_beta 90.00
_cell_angle_gamma 90.00
_space_group_name_H-M_alt 'P 1'
_space_group_IT_number 1
loop_
_space_group_symop_operation_xyz
'x,y,z'
loop_
_atom_site_label
_atom_site_type_symbol
_atom_site_fract_x
_atom_site_fract_y
_atom_site_fract_z
Sr1 Sr 0.250 0.030 0.678
Sr2 Sr 0.750 0.970 0.322
Sr3 Sr 0.250 0.530 0.822
Sr4 Sr 0.750 0.470 0.178
In1 In 0.250 0.646 0.434
In2 In 0.750 0.854 0.934
In3 In 0.750 0.354 0.566
In4 In 0.250 0.146 0.066
Pt1 Pt 0.750 0.223 0.878
Pt2 Pt 0.750 0.723 0.622
Pt3 Pt 0.250 0.277 0.378
Pt4 Pt 0.250 0.777 0.122
# Volume ... 284.7 Å³/cell
# Total DFT energy (no corrections) ... -4.689 eV/atom

# 6
# SrCa2Mg | Alexandria via LeMat-Bulk | GGA-PBEsol | relaxed
data_SrCa2Mg
_chemical_formula_sum 'Sr1 Ca2 Mg1'
_cell_length_a 3.762
_cell_length_b 5.976
_cell_length_c 6.848
_cell_angle_alpha 90.00
_cell_angle_beta 98.74
_cell_angle_gamma 90.00
_space_group_name_H-M_alt 'P 1'
_space_group_IT_number 1
loop_
_space_group_symop_operation_xyz
'x,y,z'
loop_
_atom_site_label
_atom_site_type_symbol
_atom_site_fract_x
_atom_site_fract_y
_atom_site_fract_z
Sr1 Sr 0.000 0.500 0.500
Ca1 Ca 0.709 0.000 0.766
Ca2 Ca 0.291 0.000 0.234
Mg1 Mg 0.500 0.500 0.000
# Volume ... 152.2 Å³/cell
# Total DFT energy (no corrections) ... -1.913 eV/atom